# 1
# Dy2YSb, relaxed, DFT PBE
# **Calculated volume**: 109.79 Å³/cell
# **Spin magnetization**: 0.00 Bohr magnetons per cell
# **Density of states at the Fermi level**: 4.9 states/eV/cell
# **Energy relative to the elements, uncorrected**: -45.9 kJ/mol of atoms
data_Dy2YSb
_chemical_formula_sum 'Dy2 Y1 Sb1'
_symmetry_space_group_name_H-M 'P 4/m m m'
_symmetry_Int_Tables_number 123
_symmetry_space_group_name_Hall '-P 4 2'
_cell_length_a 4.764
_cell_length_b 4.764
_cell_length_c 4.838
_cell_angle_alpha 90.00
_cell_angle_beta 90.00
_cell_angle_gamma 90.00
loop_
_atom_site_label
_atom_site_type_symbol
_atom_site_fract_x
_atom_site_fract_y
_atom_site_fract_z
_atom_site_occupancy
Dy1 Dy 0.000 0.500 0.000 1
Y1 Y 0.000 0.000 0.500 1
Sb1 Sb 0.500 0.500 0.500 1



# 2
# CeDyNiAu, relaxed, DFT PBE
# **Calculated volume**: 357.57 Å³/cell
# **Spin magnetization**: 2.79 Bohr magnetons per cell
# **Density of states at the Fermi level**: 27.5 states/eV/cell
# **Energy of formation from the pure elements**: -0.46 eV/atom
data_CeDyNiAu
_chemical_formula_sum 'Ce4 Dy4 Ni4 Au4'
_symmetry_space_group_name_H-M 'F -4 3 m'
_symmetry_Int_Tables_number 216
_symmetry_space_group_name_Hall 'F -4 2 3'
_cell_length_a 7.098
_cell_length_b 7.098
_cell_length_c 7.098
_cell_angle_alpha 90.00
_cell_angle_beta 90.00
_cell_angle_gamma 90.00
loop_
_atom_site_label
_atom_site_type_symbol
_atom_site_fract_x
_atom_site_fract_y
_atom_site_fract_z
_atom_site_occupancy
Ce1 Ce 0.000 0.000 0.000 1
Dy1 Dy 0.000 0.000 0.500 1
Ni1 Ni 0.250 0.250 0.750 1
Au1 Au 0.250 0.250 0.250 1